Entry 1:
## PaCoCu (GGA-PBE)

Data for a relaxed PaCoCu crystal.

Cell lengths 4.256, 4.256, 4.256 Å; angles 60.00, 60.00, 60.00 degrees
Sites, in units of the cell vectors:
Pa1 0.000 0.000 0.000
Co1 0.750 0.750 0.750
Cu1 0.500 0.500 0.500

Computed properties:
Space group: F-43m, No. 216
E_tot (eV/f.u.): -19.3
Size of the total moment (μB per formula unit): 0.34

***

Entry 2:
## PaCoCu (GGA-PBE)

Data for a relaxed PaCoCu crystal.

Cell lengths 4.396, 4.396, 4.396 Å; angles 60.00, 60.00, 60.00 degrees
Sites, in units of the cell vectors:
Pa1 0.000 0.000 0.000
Co1 0.750 0.750 0.750
Cu1 0.250 0.250 0.250

Computed properties:
Space group: F-43m, No. 216
E_tot (eV/f.u.): -18.5
Size of the total moment (μB per formula unit): 0.00

***

Entry 3:
## Co3CuPb5 (GGA-PBE)

Data for a relaxed Co3CuPb5 crystal.

Cell lengths 5.390, 5.390, 7.800 Å; angles 90.00, 90.00, 120.00 degrees
Sites, in units of the cell vectors:
Co1 0.000 0.500 0.000
Co2 0.500 0.000 0.000
Co3 0.500 0.500 0.000
Cu1 0.000 0.000 0.500
Pb1 0.000 0.000 0.000
Pb2 0.333 0.667 0.289
Pb3 0.333 0.667 0.711
Pb4 0.667 0.333 0.289
Pb5 0.667 0.333 0.711

Computed properties:
Space group: P6/mmm, No. 191
E_tot (eV/f.u.): -39.8
Size of the total moment (μB per formula unit): 2.08

***

Entry 4:
## CoCuRePb (GGA-PBE)

Data for a relaxed CoCuRePb crystal.

Cell lengths 4.416, 4.416, 4.416 Å; angles 60.00, 60.00, 60.00 degrees
Sites, in units of the cell vectors:
Co1 0.000 0.000 0.000
Cu1 0.500 0.500 0.500
Re1 0.250 0.250 0.250
Pb1 0.750 0.750 0.750

Computed properties:
Space group: F-43m, No. 216
E_tot (eV/f.u.): -23.8
Size of the total moment (μB per formula unit): 2.88

***

Entry 5:
## CoCuPbS3 (GGA-PBE)

Data for a relaxed CoCuPbS3 crystal.

Cell lengths 6.619, 6.619, 9.296 Å; angles 90.00, 90.00, 148.53 degrees
Sites, in units of the cell vectors:
Co1 0.000 0.000 0.000
Co2 0.000 0.000 0.500
Cu1 0.451 0.549 0.750
Cu2 0.549 0.451 0.250
Pb1 0.253 0.747 0.250
Pb2 0.747 0.253 0.750
S1 0.064 0.936 0.750
S2 0.383 0.617 0.527
S3 0.383 0.617 0.973
S4 0.617 0.383 0.027
S5 0.617 0.383 0.473
S6 0.936 0.064 0.250

Computed properties:
Space group: Cmcm, No. 63
E_tot (eV/f.u.): -28.1
Size of the total moment (μB per formula unit): 0.02

***

Entry 6:
## TaCoCuPb (GGA-PBE)

Data for a relaxed TaCoCuPb crystal.

Cell lengths 4.517, 4.517, 4.517 Å; angles 60.00, 60.00, 60.00 degrees
Sites, in units of the cell vectors:
Ta1 0.000 0.000 0.000
Co1 0.750 0.750 0.750
Cu1 0.500 0.500 0.500
Pb1 0.250 0.250 0.250

Computed properties:
Space group: F-43m, No. 216
E_tot (eV/f.u.): -24.1
Size of the total moment (μB per formula unit): 0.02

***

Entry 7:
## TaCoCuPb (GGA-PBE)

Data for a relaxed TaCoCuPb crystal.

Cell lengths 4.465, 4.465, 4.465 Å; angles 60.00, 60.00, 60.00 degrees
Sites, in units of the cell vectors:
Ta1 0.000 0.000 0.000
Co1 0.750 0.750 0.750
Cu1 0.250 0.250 0.250
Pb1 0.500 0.500 0.500

Computed properties:
Space group: F-43m, No. 216
E_tot (eV/f.u.): -24.9
Size of the total moment (μB per formula unit): 0.01

***

Entry 8:
## TaCoCuPb (GGA-PBE)

Data for a relaxed TaCoCuPb crystal.

Cell lengths 4.515, 4.515, 4.515 Å; angles 60.00, 60.00, 60.00 degrees
Sites, in units of the cell vectors:
Ta1 0.000 0.000 0.000
Co1 0.500 0.500 0.500
Cu1 0.750 0.750 0.750
Pb1 0.250 0.250 0.250

Computed properties:
Space group: F-43m, No. 216
E_tot (eV/f.u.): -23.8
Size of the total moment (μB per formula unit): 0.00

***

Entry 9:
## CoCuTcPb (GGA-PBE)

Data for a relaxed CoCuTcPb crystal.

Cell lengths 4.418, 4.418, 4.418 Å; angles 60.00, 60.00, 60.00 degrees
Sites, in units of the cell vectors:
Co1 0.000 0.000 0.000
Cu1 0.500 0.500 0.500
Tc1 0.250 0.250 0.250
Pb1 0.750 0.750 0.750

Computed properties:
Space group: F-43m, No. 216
E_tot (eV/f.u.): -22.7
Size of the total moment (μB per formula unit): 3.00

***

Entry 10:
## CoCuTe3Pb (GGA-PBE)

Data for a relaxed CoCuTe3Pb crystal.

Cell lengths 7.050, 7.050, 10.693 Å; angles 90.00, 90.00, 147.31 degrees
Sites, in units of the cell vectors:
Co1 0.000 0.000 0.000
Co2 0.000 0.000 0.500
Cu1 0.434 0.566 0.750
Cu2 0.566 0.434 0.250
Te1 0.060 0.940 0.750
Te2 0.376 0.624 0.520
Te3 0.376 0.624 0.980
Te4 0.624 0.376 0.020
Te5 0.624 0.376 0.480
Te6 0.940 0.060 0.250
Pb1 0.238 0.762 0.250
Pb2 0.762 0.238 0.750

Computed properties:
Space group: Cmcm, No. 63
E_tot (eV/f.u.): -24.2
Size of the total moment (μB per formula unit): 0.00

***

Entry 11:
## ZnCoCuPb (GGA-PBE)

Data for a relaxed ZnCoCuPb crystal.

Cell lengths 4.466, 4.466, 4.466 Å; angles 60.00, 60.00, 60.00 degrees
Sites, in units of the cell vectors:
Zn1 0.000 0.000 0.000
Co1 0.250 0.250 0.250
Cu1 0.500 0.500 0.500
Pb1 0.750 0.750 0.750

Computed properties:
Space group: F-43m, No. 216
E_tot (eV/f.u.): -13.8
Size of the total moment (μB per formula unit): 1.10

***

Entry 12:
## ZnCoCuPb (GGA-PBE)

Data for a relaxed ZnCoCuPb crystal.

Cell lengths 4.421, 4.421, 4.421 Å; angles 60.00, 60.00, 60.00 degrees
Sites, in units of the cell vectors:
Zn1 0.000 0.000 0.000
Co1 0.750 0.750 0.750
Cu1 0.250 0.250 0.250
Pb1 0.500 0.500 0.500

Computed properties:
Space group: F-43m, No. 216
E_tot (eV/f.u.): -14.5
Size of the total moment (μB per formula unit): 0.01